Entry 1:
A geometry-optimized NaSiAuSe2S structure, computed with PBE.

a b c (Å): 7.6137 7.6137 9.9100
angles (deg): 90.00 90.00 152.89
Last column: nearest neighbours and their distance in Å.
Atoms (fractional coordinates):
Na 0.2004 0.7996 0.7500  2 Se 2.82, 2 S 2.99, 2 Au 3.03
Na 0.7996 0.2004 0.2500  2 Se 2.82, 2 S 2.99, 2 Au 3.03
Si 0.5000 0.5000 0.0000  4 Se 2.51, 2 S 2.54
Si 0.5000 0.5000 0.5000  4 Se 2.51, 2 S 2.54
Au 0.1338 0.8662 0.2500  2 Se 2.41
Au 0.8662 0.1338 0.7500  2 Se 2.41
Se 0.1188 0.8812 0.0076  1 Au 2.41, 2 Si 2.51
Se 0.1188 0.8812 0.4924  1 Au 2.41, 2 Si 2.51
Se 0.8812 0.1188 0.5076  1 Au 2.41, 2 Si 2.51
Se 0.8812 0.1188 0.9924  1 Au 2.41, 2 Si 2.51
S 0.4617 0.5383 0.2500  2 Si 2.54
S 0.5383 0.4617 0.7500  2 Si 2.54

Summary:
space-group type	Cmcm
total energy	-46.0	eV/cell

=====

Entry 2:
A geometry-optimized ZrBi2 structure, computed with PBE.

a b c (Å): 6.2903 6.2903 6.2903
angles (deg): 60.00 60.00 60.00
Last column: nearest neighbours and their distance in Å.
Atoms (fractional coordinates):
Zr 0.1250 0.1250 0.1250  12 Bi 3.69, 4 Zr 3.85
Zr 0.8750 0.8750 0.8750  12 Bi 3.69, 4 Zr 3.85
Bi 0.0000 0.5000 0.5000  6 Bi 3.15
Bi 0.5000 0.0000 0.5000  6 Bi 3.15
Bi 0.5000 0.5000 0.0000  6 Bi 3.15
Bi 0.5000 0.5000 0.5000  6 Bi 3.15

Summary:
space-group type	Fd-3m
total energy	-30.2	eV/cell
magnetization	0.01	μB/cell

=====

Entry 3:
A geometry-optimized YHfTh structure, computed with PBE.

a b c (Å): 7.3374 7.3374 7.3374
angles (deg): 90.00 90.00 90.00
Last column: nearest neighbours and their distance in Å.
Atoms (fractional coordinates):
Y 0.0000 0.0000 0.0000  4 Hf 3.18
Y 0.0000 0.5000 0.5000  4 Hf 3.18
Y 0.5000 0.0000 0.5000  4 Hf 3.18
Y 0.5000 0.5000 0.0000  4 Hf 3.18
Hf 0.2500 0.2500 0.7500  4 Th 3.18, 4 Y 3.18
Hf 0.2500 0.7500 0.2500  4 Th 3.18, 4 Y 3.18
Hf 0.7500 0.2500 0.2500  4 Th 3.18, 4 Y 3.18
Hf 0.7500 0.7500 0.7500  4 Th 3.18, 4 Y 3.18
Th 0.0000 0.0000 0.5000  4 Hf 3.18
Th 0.0000 0.5000 0.0000  4 Hf 3.18
Th 0.5000 0.0000 0.0000  4 Hf 3.18
Th 0.5000 0.5000 0.5000  4 Hf 3.18

Summary:
space-group type	F-43m
total energy	-86.0	eV/cell
relative energy among the computed polymorphs	0	meV/atom
energy relative to the elements	774	meV per atom
magnetization	4.55	μB/cell

=====

Entry 4:
A geometry-optimized FeBPt2 structure, computed with PBE.

a b c (Å): 5.9438 5.9438 5.9438
angles (deg): 90.00 90.00 90.00
Last column: nearest neighbours and their distance in Å.
Atoms (fractional coordinates):
Fe 0.0000 0.0000 0.0000  4 B 2.57, 4 Pt 2.57
Fe 0.0000 0.5000 0.5000  4 B 2.57, 4 Pt 2.57
Fe 0.5000 0.0000 0.5000  4 B 2.57, 4 Pt 2.57
Fe 0.5000 0.5000 0.0000  4 B 2.57, 4 Pt 2.57
B 0.2500 0.2500 0.7500  4 Fe 2.57, 4 Pt 2.57
B 0.2500 0.7500 0.2500  4 Fe 2.57, 4 Pt 2.57
B 0.7500 0.2500 0.2500  4 Fe 2.57, 4 Pt 2.57
B 0.7500 0.7500 0.7500  4 Fe 2.57, 4 Pt 2.57
Pt 0.0000 0.0000 0.5000  4 Pt 2.57, 4 B 2.57
Pt 0.0000 0.5000 0.0000  4 Pt 2.57, 4 B 2.57
Pt 0.2500 0.2500 0.2500  4 Fe 2.57, 4 Pt 2.57
Pt 0.2500 0.7500 0.7500  4 Fe 2.57, 4 Pt 2.57
Pt 0.5000 0.0000 0.0000  4 Pt 2.57, 4 B 2.57
Pt 0.5000 0.5000 0.5000  4 Pt 2.57, 4 B 2.57
Pt 0.7500 0.2500 0.7500  4 Fe 2.57, 4 Pt 2.57
Pt 0.7500 0.7500 0.2500  4 Fe 2.57, 4 Pt 2.57

Summary:
space-group type	F-43m
total energy	-100.3	eV/cell
magnetization	10.61	μB/cell

=====

Entry 5:
A geometry-optimized Cs2AgIBrCl2 structure, computed with PBE.

a b c (Å): 5.4430 5.4430 17.8904
angles (deg): 90.00 90.00 90.00
Last column: nearest neighbours and their distance in Å.
Atoms (fractional coordinates):
Cs 0.0000 0.0000 0.0000  4 Cl 3.54, 4 Br 3.88, 1 I 3.91
Cs 0.0000 0.0000 0.2575  4 Cl 3.59, 4 I 3.87, 1 Br 3.89
Cs 0.5000 0.5000 0.5000  4 Cl 3.54, 4 Br 3.88, 1 I 3.91
Cs 0.5000 0.5000 0.7575  4 Cl 3.59, 4 I 3.87, 1 Br 3.89
Ag 0.0000 0.0000 0.6238  1 Br 2.67, 4 Cl 2.72, 1 I 2.82
Ag 0.5000 0.5000 0.1238  1 Br 2.67, 4 Cl 2.72, 1 I 2.82
I 0.0000 0.0000 0.7816  1 Ag 2.82
I 0.5000 0.5000 0.2816  1 Ag 2.82
Br 0.0000 0.0000 0.4748  1 Ag 2.67
Br 0.5000 0.5000 0.9748  1 Ag 2.67
Cl 0.0000 0.5000 0.1268  2 Ag 2.72
Cl 0.0000 0.5000 0.6268  2 Ag 2.72
Cl 0.5000 0.0000 0.1268  2 Ag 2.72
Cl 0.5000 0.0000 0.6268  2 Ag 2.72

Summary:
space-group type	I4mm
total energy	-39.5	eV/cell

=====

Entry 6:
A geometry-optimized NaSiGeIr structure, computed with PBE.

a b c (Å): 6.3413 6.3413 6.3413
angles (deg): 90.00 90.00 90.00
Last column: nearest neighbours and their distance in Å.
Atoms (fractional coordinates):
Na 0.0000 0.0000 0.0000  4 Ge 2.75, 4 Ir 2.75
Na 0.0000 0.5000 0.5000  4 Ge 2.75, 4 Ir 2.75
Na 0.5000 0.0000 0.5000  4 Ge 2.75, 4 Ir 2.75
Na 0.5000 0.5000 0.0000  4 Ge 2.75, 4 Ir 2.75
Si 0.0000 0.0000 0.5000  4 Ir 2.75, 4 Ge 2.75
Si 0.0000 0.5000 0.0000  4 Ir 2.75, 4 Ge 2.75
Si 0.5000 0.0000 0.0000  4 Ir 2.75, 4 Ge 2.75
Si 0.5000 0.5000 0.5000  4 Ir 2.75, 4 Ge 2.75
Ge 0.2500 0.2500 0.2500  4 Na 2.75, 4 Si 2.75
Ge 0.2500 0.7500 0.7500  4 Na 2.75, 4 Si 2.75
Ge 0.7500 0.2500 0.7500  4 Na 2.75, 4 Si 2.75
Ge 0.7500 0.7500 0.2500  4 Na 2.75, 4 Si 2.75
Ir 0.2500 0.2500 0.7500  4 Na 2.75, 4 Si 2.75
Ir 0.2500 0.7500 0.2500  4 Na 2.75, 4 Si 2.75
Ir 0.7500 0.2500 0.2500  4 Na 2.75, 4 Si 2.75
Ir 0.7500 0.7500 0.7500  4 Na 2.75, 4 Si 2.75

Summary:
space-group type	F-43m
total energy	-75.7	eV/cell
relative energy among the computed polymorphs	349	meV/atom
magnetization	0.02	μB/cell

=====

Entry 7:
A geometry-optimized NdHoMg2Sn2 structure, computed with PBE.

a b c (Å): 4.4473 4.4473 16.0402
angles (deg): 90.00 90.00 90.00
Last column: nearest neighbours and their distance in Å.
Atoms (fractional coordinates):
Nd 0.0000 0.0000 0.0000  5 Sn 3.19, 4 Mg 3.49
Nd 0.5000 0.5000 0.5000  5 Sn 3.19, 4 Mg 3.49
Ho 0.0000 0.0000 0.6677  5 Sn 3.18-3.20, 4 Mg 3.45
Ho 0.5000 0.5000 0.1677  5 Sn 3.18-3.20, 4 Mg 3.45
Mg 0.0000 0.5000 0.3323  4 Sn 3.09-3.11, 4 Mg 3.14, 2 Ho 3.45
Mg 0.0000 0.5000 0.8323  4 Sn 3.09-3.11, 4 Mg 3.14, 2 Ho 3.45
Mg 0.5000 0.0000 0.3323  4 Sn 3.09-3.11, 4 Mg 3.14, 2 Ho 3.45
Mg 0.5000 0.0000 0.8323  4 Sn 3.09-3.11, 4 Mg 3.14, 2 Ho 3.45
Sn 0.0000 0.0000 0.1988  4 Mg 3.09, 4 Ho 3.18, 1 Nd 3.19
Sn 0.0000 0.0000 0.4680  4 Mg 3.11, 4 Nd 3.19, 1 Ho 3.20
Sn 0.5000 0.5000 0.6988  4 Mg 3.09, 4 Ho 3.18, 1 Nd 3.19
Sn 0.5000 0.5000 0.9680  4 Mg 3.11, 4 Nd 3.19, 1 Ho 3.20

Summary:
space-group type	I4mm
total energy	-47.9	eV/cell
magnetization	0.00	μB/cell

=====

Entry 8:
A geometry-optimized Pm2ZnF8 structure, computed with PBE.

a b c (Å): 6.0014 6.0014 4.5113
angles (deg): 104.81 104.81 73.28
Last column: nearest neighbours and their distance in Å.
Atoms (fractional coordinates):
Pm 0.1759 0.1759 0.3823  7 F 2.18-2.39
Pm 0.8241 0.8241 0.6177  7 F 2.18-2.39
Zn 0.5000 0.5000 0.0000  6 F 1.92-2.06
F 0.0830 0.0830 0.8075  3 Pm 2.36-2.46
F 0.1559 0.5418 0.7513  1 Zn 2.06, 1 Pm 2.27
F 0.3787 0.3787 0.2647  1 Zn 1.92
F 0.4582 0.8441 0.2487  1 Zn 2.06, 1 Pm 2.27
F 0.5418 0.1559 0.7513  1 Zn 2.06, 1 Pm 2.27
F 0.6213 0.6213 0.7353  1 Zn 1.92
F 0.8441 0.4582 0.2487  1 Zn 2.06, 1 Pm 2.27
F 0.9170 0.9170 0.1925  3 Pm 2.36-2.46

Summary:
space-group type	C2/m
total energy	-65.0	eV/cell
magnetization	0.00	μB/cell

=====

Entry 9:
A geometry-optimized LiPdAuSe2S structure, computed with PBE.

a b c (Å): 6.8943 6.8943 9.9005
angles (deg): 90.00 90.00 148.99
Last column: nearest neighbours and their distance in Å.
Atoms (fractional coordinates):
Li 0.1829 0.8171 0.7500  2 S 2.52, 2 Se 2.64
Li 0.8171 0.1829 0.2500  2 S 2.52, 2 Se 2.64
Pd 0.5000 0.5000 0.0000  4 Se 2.53, 2 S 2.58
Pd 0.5000 0.5000 0.5000  4 Se 2.53, 2 S 2.58
Au 0.1536 0.8464 0.2500  2 Se 2.42
Au 0.8464 0.1536 0.7500  2 Se 2.42
Se 0.1304 0.8696 0.0074  1 Au 2.42, 2 Pd 2.53, 1 Li 2.64
Se 0.1304 0.8696 0.4926  1 Au 2.42, 2 Pd 2.53, 1 Li 2.64
Se 0.8696 0.1304 0.5074  1 Au 2.42, 2 Pd 2.53, 1 Li 2.64
Se 0.8696 0.1304 0.9926  1 Au 2.42, 2 Pd 2.53, 1 Li 2.64
S 0.4460 0.5540 0.2500  2 Li 2.52, 2 Pd 2.58
S 0.5540 0.4460 0.7500  2 Li 2.52, 2 Pd 2.58

Summary:
space-group type	Cmcm
total energy	-46.6	eV/cell

=====

Entry 10:
A geometry-optimized Hf3Zr3Ga2Co structure, computed with PBE.

a b c (Å): 7.8243 7.8243 3.3157
angles (deg): 90.00 90.00 120.00
Last column: nearest neighbours and their distance in Å.
Atoms (fractional coordinates):
Hf 0.0000 0.5983 0.0000  4 Ga 2.91, 1 Co 3.14, 6 Zr 3.18-3.21
Hf 0.4017 0.4017 0.0000  4 Ga 2.91, 1 Co 3.14, 6 Zr 3.18-3.21
Hf 0.5983 0.0000 0.0000  4 Ga 2.91, 1 Co 3.14, 6 Zr 3.18-3.21
Zr 0.0000 0.2521 0.5000  2 Co 2.58
Zr 0.2521 0.0000 0.5000  2 Co 2.58
Zr 0.7479 0.7479 0.5000  2 Co 2.58
Ga 0.3333 0.6667 0.5000  6 Hf 2.91, 3 Zr 2.98
Ga 0.6667 0.3333 0.5000  6 Hf 2.91, 3 Zr 2.98
Co 0.0000 0.0000 0.0000  6 Zr 2.58

Summary:
space-group type	P-62m
total energy	-72.0	eV/cell
relative energy among the computed polymorphs	50	meV/atom
magnetization	0.04	μB/cell

=====

Entry 11:
A geometry-optimized LiCuGeMo structure, computed with PBE.

a b c (Å): 6.0703 6.0703 6.0703
angles (deg): 90.00 90.00 90.00
Last column: nearest neighbours and their distance in Å.
Atoms (fractional coordinates):
Li 0.0000 0.0000 0.0000  4 Ge 2.63, 4 Mo 2.63
Li 0.0000 0.5000 0.5000  4 Ge 2.63, 4 Mo 2.63
Li 0.5000 0.0000 0.5000  4 Ge 2.63, 4 Mo 2.63
Li 0.5000 0.5000 0.0000  4 Ge 2.63, 4 Mo 2.63
Cu 0.0000 0.0000 0.5000  4 Mo 2.63, 4 Ge 2.63
Cu 0.0000 0.5000 0.0000  4 Mo 2.63, 4 Ge 2.63
Cu 0.5000 0.0000 0.0000  4 Mo 2.63, 4 Ge 2.63
Cu 0.5000 0.5000 0.5000  4 Mo 2.63, 4 Ge 2.63
Ge 0.2500 0.2500 0.2500  4 Li 2.63, 4 Cu 2.63
Ge 0.2500 0.7500 0.7500  4 Li 2.63, 4 Cu 2.63
Ge 0.7500 0.2500 0.7500  4 Li 2.63, 4 Cu 2.63
Ge 0.7500 0.7500 0.2500  4 Li 2.63, 4 Cu 2.63
Mo 0.2500 0.2500 0.7500  4 Li 2.63, 4 Cu 2.63
Mo 0.2500 0.7500 0.2500  4 Li 2.63, 4 Cu 2.63
Mo 0.7500 0.2500 0.2500  4 Li 2.63, 4 Cu 2.63
Mo 0.7500 0.7500 0.7500  4 Li 2.63, 4 Cu 2.63

Summary:
space-group type	F-43m
total energy	-78.2	eV/cell
relative energy among the computed polymorphs	199	meV/atom
magnetization	8.95	μB/cell

=====

Entry 12:
A geometry-optimized KGdHf structure, computed with PBE.

a b c (Å): 7.8721 7.8721 7.8721
angles (deg): 90.00 90.00 90.00
Last column: nearest neighbours and their distance in Å.
Atoms (fractional coordinates):
K 0.0000 0.0000 0.0000  4 Gd 3.41
K 0.0000 0.5000 0.5000  4 Gd 3.41
K 0.5000 0.0000 0.5000  4 Gd 3.41
K 0.5000 0.5000 0.0000  4 Gd 3.41
Gd 0.2500 0.2500 0.7500  4 Hf 3.41, 4 K 3.41
Gd 0.2500 0.7500 0.2500  4 Hf 3.41, 4 K 3.41
Gd 0.7500 0.2500 0.2500  4 Hf 3.41, 4 K 3.41
Gd 0.7500 0.7500 0.7500  4 Hf 3.41, 4 K 3.41
Hf 0.0000 0.0000 0.5000  4 Gd 3.41
Hf 0.0000 0.5000 0.0000  4 Gd 3.41
Hf 0.5000 0.0000 0.0000  4 Gd 3.41
Hf 0.5000 0.5000 0.5000  4 Gd 3.41

Summary:
space-group type	F-43m
total energy	-43.0	eV/cell
relative energy among the computed polymorphs	0	meV/atom
magnetization	12.51	μB/cell

=====

What did the third record say?
A geometry-optimized YHfTh structure, computed with PBE.

a b c (Å): 7.3374 7.3374 7.3374
angles (deg): 90.00 90.00 90.00
Last column: nearest neighbours and their distance in Å.
Atoms (fractional coordinates):
Y 0.0000 0.0000 0.0000  4 Hf 3.18
Y 0.0000 0.5000 0.5000  4 Hf 3.18
Y 0.5000 0.0000 0.5000  4 Hf 3.18
Y 0.5000 0.5000 0.0000  4 Hf 3.18
Hf 0.2500 0.2500 0.7500  4 Th 3.18, 4 Y 3.18
Hf 0.2500 0.7500 0.2500  4 Th 3.18, 4 Y 3.18
Hf 0.7500 0.2500 0.2500  4 Th 3.18, 4 Y 3.18
Hf 0.7500 0.7500 0.7500  4 Th 3.18, 4 Y 3.18
Th 0.0000 0.0000 0.5000  4 Hf 3.18
Th 0.0000 0.5000 0.0000  4 Hf 3.18
Th 0.5000 0.0000 0.0000  4 Hf 3.18
Th 0.5000 0.5000 0.5000  4 Hf 3.18

Summary:
space-group type	F-43m
total energy	-86.0	eV/cell
relative energy among the computed polymorphs	0	meV/atom
energy relative to the elements	774	meV per atom
magnetization	4.55	μB/cell

=====

What did the seventh record say?
A geometry-optimized NdHoMg2Sn2 structure, computed with PBE.

a b c (Å): 4.4473 4.4473 16.0402
angles (deg): 90.00 90.00 90.00
Last column: nearest neighbours and their distance in Å.
Atoms (fractional coordinates):
Nd 0.0000 0.0000 0.0000  5 Sn 3.19, 4 Mg 3.49
Nd 0.5000 0.5000 0.5000  5 Sn 3.19, 4 Mg 3.49
Ho 0.0000 0.0000 0.6677  5 Sn 3.18-3.20, 4 Mg 3.45
Ho 0.5000 0.5000 0.1677  5 Sn 3.18-3.20, 4 Mg 3.45
Mg 0.0000 0.5000 0.3323  4 Sn 3.09-3.11, 4 Mg 3.14, 2 Ho 3.45
Mg 0.0000 0.5000 0.8323  4 Sn 3.09-3.11, 4 Mg 3.14, 2 Ho 3.45
Mg 0.5000 0.0000 0.3323  4 Sn 3.09-3.11, 4 Mg 3.14, 2 Ho 3.45
Mg 0.5000 0.0000 0.8323  4 Sn 3.09-3.11, 4 Mg 3.14, 2 Ho 3.45
Sn 0.0000 0.0000 0.1988  4 Mg 3.09, 4 Ho 3.18, 1 Nd 3.19
Sn 0.0000 0.0000 0.4680  4 Mg 3.11, 4 Nd 3.19, 1 Ho 3.20
Sn 0.5000 0.5000 0.6988  4 Mg 3.09, 4 Ho 3.18, 1 Nd 3.19
Sn 0.5000 0.5000 0.9680  4 Mg 3.11, 4 Nd 3.19, 1 Ho 3.20

Summary:
space-group type	I4mm
total energy	-47.9	eV/cell
magnetization	0.00	μB/cell

=====

> What is the formula in the tenth record?

Hf3Zr3Ga2Co

=====

> Which of these has the highest total energy?

ZrBi2